(1)
! Na2Pb2Se | the Alexandria database | GGA-PBE | relaxed; values from VASP
&SYSTEM
  ibrav = 0, nat = 10, ntyp = 3
/
ATOMIC_SPECIES
Na 22.99 Na.upf
Pb 207.20 Pb.upf
Se 78.96 Se.upf
ATOMIC_POSITIONS angstrom
Na 1.3087 2.6494 0.0000
Na 2.6494 6.6074 0.0000
Na 5.2668 1.3087 0.0000
Na 6.6074 5.2668 0.0000
Pb 1.1288 5.0869 2.4237
Pb 2.8293 1.1288 2.4237
Pb 5.0869 6.7874 2.4237
Pb 6.7874 2.8293 2.4237
Se 0.0000 0.0000 2.4237
Se 3.9581 3.9581 2.4237
CELL_PARAMETERS angstrom
7.9162 0.0000 0.0000
0.0000 7.9162 0.0000
0.0000 0.0000 4.8474
! Spin magnetization (μB/atom): 0.000
! Raw total energy (eV/atom): -2.876
! Space-group type: P4/mbm

---

(2)
! Na5PbSe4 | the Alexandria database | GGA-PBE | relaxed; values from VASP
&SYSTEM
  ibrav = 0, nat = 10, ntyp = 3
/
ATOMIC_SPECIES
Na 22.99 Na.upf
Pb 207.20 Pb.upf
Se 78.96 Se.upf
ATOMIC_POSITIONS angstrom
Na 0.0000 0.0000 0.0000
Na 2.2070 -1.9751 4.4154
Na 0.0000 2.6864 2.1091
Na 2.2070 1.9751 4.4154
Na 0.0000 6.6366 2.1091
Pb 0.0000 0.0000 6.5245
Se 2.2070 1.8705 0.0000
Se 0.0000 0.0000 3.6008
Se 0.0000 0.0000 9.4483
Se 0.0000 2.7910 6.5245
CELL_PARAMETERS angstrom
-2.2070 4.6615 6.5245
2.2070 -4.6615 6.5245
2.2070 4.6615 -6.5245
! Spin magnetization (μB/atom): 0.000
! Raw total energy (eV/atom): -3.170
! Space-group type: Immm